Crystalline Mn2TlPb at its relaxed geometry. Source: Alexandria via LeMat-Bulk, functional PBE-GGA.

```
4
Lattice="4.568 -1.663 0.000 4.568 1.663 0.000 -1.255 0.000 5.791" Properties=species:S:1:pos:R:3 pbc="T T T"
Mn 2.008 0.000 1.293
Mn 5.874 0.000 4.498
Tl 4.568 0.000 0.000
Pb -0.628 0.000 2.896
```

Values from the calculation:
The calculated formation energy is 521 meV/atom. As for the total magnetic moment: 8.0 μB per formula unit.

Crystalline HoU5S6 at its relaxed geometry. Source: Alexandria via LeMat-Bulk, functional PBE-GGA.

```
12
Lattice="3.363 -5.818 0.000 3.363 5.818 0.000 -2.241 0.000 6.266" Properties=species:S:1:pos:R:3 pbc="T T T"
Ho 0.000 0.000 0.000
U 2.243 3.870 3.133
U 3.363 1.933 0.000
U 2.243 0.000 3.133
U 3.363 -1.933 0.000
U 2.243 -3.870 3.133
S 1.114 1.931 1.554
S -0.013 0.000 4.699
S 1.114 -1.931 1.554
S 3.371 1.931 4.712
S 4.498 0.000 1.567
S 3.371 -1.931 4.712
```

Values from the calculation:
As for the formation energy from raw total energies: -1468.5 meV/atom. As for the total magnetic moment: 11.5 μB per formula unit.

Crystalline TmPd3Au2 at its relaxed geometry. Source: Alexandria via LeMat-Bulk, functional PBE-GGA.

```
6
Lattice="2.086 -6.317 0.000 2.086 6.317 0.000 0.000 0.000 3.978" Properties=species:S:1:pos:R:3 pbc="T T T"
Tm 0.000 0.000 0.000
Pd 2.086 4.187 1.989
Pd 2.086 0.000 1.989
Pd 2.086 -4.187 1.989
Au 2.086 2.092 0.000
Au 2.086 -2.092 0.000
```

Values from the calculation:
As for the relative energy among the computed polymorphs: 0.000 eV per atom. The calculated formation energy is -654 meV/atom. As for the total magnetic moment: 0.0 μB per formula unit.

Crystalline HgIr2Ru at its relaxed geometry. Source: Alexandria via LeMat-Bulk, functional PBE-GGA.

```
4
Lattice="2.803 0.000 0.000 0.000 2.803 0.000 0.000 0.000 8.084" Properties=species:S:1:pos:R:3 pbc="T T T"
Hg 0.000 0.000 0.000
Ir 1.401 1.401 2.245
Ir 1.401 1.401 5.839
Ru 0.000 0.000 4.042
```

Values from the calculation:
The calculated formation energy is 248 meV/atom. As for the total magnetic moment: 0.0 μB per formula unit.

Crystalline BeTl2W at its relaxed geometry. Source: Alexandria via LeMat-Bulk, functional PBE-GGA.

```
4
Lattice="-1.996 1.996 4.646 1.996 -1.996 4.646 1.996 1.996 -4.646" Properties=species:S:1:pos:R:3 pbc="T T T"
Be 0.000 0.000 0.000
Tl 1.996 0.000 2.323
Tl 0.000 0.000 4.646
W 0.000 1.996 2.323
```

Values from the calculation:
As for the relative energy among the computed polymorphs: 0.334 eV per atom. The calculated formation energy is 1011 meV/atom. As for the total magnetic moment: 0.0 μB per formula unit.

Crystalline Rb6NbI12 at its relaxed geometry. Source: Alexandria via LeMat-Bulk, functional PBE-GGA.

```
19
Lattice="7.328 4.231 6.150 -7.328 4.231 6.150 0.000 -8.461 6.150" Properties=species:S:1:pos:R:3 pbc="T T T"
Rb -4.909 1.402 8.104
Rb -3.668 -3.550 10.348
Rb 1.240 -4.952 8.104
Rb -1.240 4.952 10.348
Rb 3.668 3.550 8.104
Rb 4.909 -1.402 10.348
Nb 0.000 0.000 9.226
I -2.271 -5.759 7.841
I -6.123 -0.913 10.610
I -1.944 -1.177 7.605
I -3.852 4.846 7.841
I -1.991 1.095 10.847
I -0.047 2.272 7.605
I 0.047 -2.272 10.847
I 1.991 -1.095 7.605
I 3.852 -4.846 10.610
I 1.944 1.177 10.847
I 6.123 0.913 7.841
I 2.271 5.759 10.610
```

Values from the calculation:
As for the formation energy from raw total energies: -993.5 meV/atom. As for the total magnetic moment: 1.2 μB per formula unit.

Crystalline LaGaRu2 at its relaxed geometry. Source: Alexandria via LeMat-Bulk, functional PBE-GGA.

```
16
Lattice="5.911 0.000 0.000 0.000 7.251 0.000 0.000 0.000 8.320" Properties=species:S:1:pos:R:3 pbc="T T T"
La 1.478 0.000 1.529
La 1.478 3.625 2.332
La 4.433 0.000 6.791
La 4.433 3.625 5.988
Ga 1.478 0.000 6.243
Ga 1.478 3.625 6.392
Ga 4.433 0.000 2.077
Ga 4.433 3.625 1.928
Ru 0.000 0.000 4.160
Ru 0.000 3.625 0.000
Ru 1.478 2.129 4.445
Ru 1.478 5.122 4.445
Ru 2.956 0.000 4.160
Ru 2.956 3.625 0.000
Ru 4.433 2.129 3.875
Ru 4.433 5.122 3.875
```

Values from the calculation:
The calculated formation energy is 189 meV/atom. As for the total magnetic moment: 0.0 μB per formula unit.

Crystalline Tb8MgAl2 at its relaxed geometry. Source: Alexandria via LeMat-Bulk, functional PBE-GGA.

```
11
Lattice="4.407 -7.215 0.000 4.407 7.215 0.000 -2.161 0.000 5.124" Properties=species:S:1:pos:R:3 pbc="T T T"
Tb 0.526 1.729 3.090
Tb 4.407 3.944 0.000
Tb 0.526 -1.729 3.090
Tb 3.094 0.000 1.017
Tb 3.559 0.000 4.107
Tb 6.127 1.729 2.034
Tb 4.407 -3.944 0.000
Tb 6.127 -1.729 2.034
Mg 0.000 0.000 0.000
Al 3.326 2.793 2.562
Al 3.326 -2.793 2.562
```

Values from the calculation:
As for the relative energy among the computed polymorphs: 0.119 eV per atom. The calculated formation energy is -22 meV/atom. As for the total magnetic moment: 0.0 μB per formula unit.

Crystalline Dy2YGaC at its relaxed geometry. Source: Alexandria via LeMat-Bulk, functional PBE-GGA.

```
5
Lattice="4.864 0.000 0.000 0.000 4.864 0.000 0.000 0.000 4.866" Properties=species:S:1:pos:R:3 pbc="T T T"
Dy 0.000 2.432 0.000
Dy 2.432 0.000 0.000
Y 0.000 0.000 2.433
Ga 2.432 2.432 2.433
C 0.000 0.000 0.000
```

Values from the calculation:
The calculated formation energy is -459 meV/atom. As for the total magnetic moment: 0.0 μB per formula unit.

Crystalline ScMo2Os at its relaxed geometry. Source: Alexandria via LeMat-Bulk, functional PBE-GGA.

```
4
Lattice="-1.584 2.214 4.632 1.584 -2.214 4.632 1.584 2.214 -4.632" Properties=species:S:1:pos:R:3 pbc="T T T"
Sc 0.000 0.000 0.000
Mo 1.584 0.000 2.390
Mo 0.000 2.214 2.242
Os 0.000 0.000 4.632
```

Values from the calculation:
As for the relative energy among the computed polymorphs: 0.000 eV per atom. The calculated formation energy is -114 meV/atom. As for the total magnetic moment: 0.0 μB per formula unit.

Crystalline Cs2La2SbO6 at its relaxed geometry. Source: Alexandria via LeMat-Bulk, functional PBE-GGA.

```
11
Lattice="3.157 -5.413 0.000 3.157 5.413 0.000 -1.875 0.000 7.073" Properties=species:S:1:pos:R:3 pbc="T T T"
Cs 3.157 3.632 0.000
Cs 3.157 -3.632 0.000
La 2.220 1.788 3.537
La 2.220 -1.788 3.537
Sb -0.937 0.000 3.537
O 0.021 1.682 4.640
O 0.928 0.000 2.398
O 0.021 -1.682 4.640
O 4.419 1.682 2.433
O 3.512 0.000 4.675
O 4.419 -1.682 2.433
```

Values from the calculation:
As for the formation energy from raw total energies: -2213.8 meV/atom. As for the total magnetic moment: 0.6 μB per formula unit.

Crystalline DyH12Rh6 at its relaxed geometry. Source: Alexandria via LeMat-Bulk, functional PBE-GGA.

```
19
Lattice="4.243 2.450 2.414 -4.243 2.450 2.414 0.000 -4.899 2.414" Properties=species:S:1:pos:R:3 pbc="T T T"
Dy 0.000 0.000 0.000
H -3.492 0.427 3.083
H -2.116 -2.811 4.160
H -1.143 -1.235 2.894
H 1.376 -3.238 3.083
H -1.641 0.373 4.349
H -0.498 1.608 2.894
H 0.498 -1.608 4.349
H 1.641 -0.373 2.894
H -1.376 3.238 4.160
H 1.143 1.235 4.349
H 2.116 2.811 3.083
H 3.492 -0.427 4.160
Rh -1.776 0.462 2.462
Rh 0.487 -1.769 2.462
Rh -1.288 -1.307 4.780
Rh 1.288 1.307 2.462
Rh -0.487 1.769 4.780
Rh 1.776 -0.462 4.780
```

Values from the calculation:
As for the total energy: -92.18 eV/cell. As for the total magnetic moment: 0.0 μB per formula unit.